1.
Y2Al9Rh3: optimized geometry, GGA-PBEsol.

Results
volume	16.35	A^3/atom
raw total energy	-6.192	eV per atom
SG	No. 63

Unit cell a=7.479 b=7.479 c=9.393 alpha=90.00 beta=90.00 gamma=60.64
Fractional positions:
Y 0.005 0.672 0.750
Y 0.328 0.995 0.750
Y 0.672 0.005 0.250
Y 0.995 0.328 0.250
Al 0.000 0.336 0.575
Al 0.000 0.336 0.925
Al 0.000 0.664 0.075
Al 0.000 0.664 0.425
Al 0.128 0.872 0.250
Al 0.333 0.667 0.550
Al 0.333 0.667 0.950
Al 0.336 0.000 0.075
Al 0.336 0.000 0.425
Al 0.340 0.449 0.250
Al 0.449 0.340 0.750
Al 0.551 0.660 0.250
Al 0.660 0.551 0.750
Al 0.664 0.000 0.575
Al 0.664 0.000 0.925
Al 0.667 0.333 0.050
Al 0.667 0.333 0.450
Al 0.872 0.128 0.750
Rh 0.000 0.000 0.000
Rh 0.000 0.000 0.500
Rh 0.328 0.328 0.000
Rh 0.328 0.328 0.500
Rh 0.672 0.672 0.000
Rh 0.672 0.672 0.500

2.
YAl2Rh: optimized geometry, GGA-PBEsol.

Results
volume	18.73	A^3/atom
raw total energy	-6.082	eV per atom
SG	No. 166

Unit cell a=3.158 b=3.158 c=26.017 alpha=90.00 beta=90.00 gamma=120.00
Fractional positions:
Y 0.000 0.000 0.000
Y 0.333 0.667 0.667
Y 0.667 0.333 0.333
Al 0.000 0.000 0.234
Al 0.000 0.000 0.766
Al 0.333 0.667 0.433
Al 0.333 0.667 0.900
Al 0.667 0.333 0.100
Al 0.667 0.333 0.567
Rh 0.000 0.000 0.500
Rh 0.333 0.667 0.167
Rh 0.667 0.333 0.833

3.
AlZnRh2: optimized geometry, GGA-PBEsol.

Results
volume	13.05	A^3/atom
raw total energy	-6.271	eV per atom
SG	No. 225

Unit cell a=5.932 b=5.932 c=5.932 alpha=90.00 beta=90.00 gamma=90.00
Fractional positions:
Al 0.000 0.000 0.000
Al 0.000 0.500 0.500
Al 0.500 0.000 0.500
Al 0.500 0.500 0.000
Zn 0.000 0.000 0.500
Zn 0.000 0.500 0.000
Zn 0.500 0.000 0.000
Zn 0.500 0.500 0.500
Rh 0.250 0.250 0.250
Rh 0.250 0.250 0.750
Rh 0.250 0.750 0.250
Rh 0.250 0.750 0.750
Rh 0.750 0.250 0.250
Rh 0.750 0.250 0.750
Rh 0.750 0.750 0.250
Rh 0.750 0.750 0.750